The following is a GGA-PBE calculation of crystalline K3U at its relaxed geometry, from Alexandria via LeMat-Bulk.

Lattice parameters (Å, degrees): 6.1254 6.1254 6.1254 90.00 90.00 90.00
Space group Pm-3m (No. 221)
Unique sites:
K 0.0000 0.0000 0.5000 x3
U 0.5000 0.5000 0.5000 x1

Computed properties:
Calculated volume   230 Å³/cell
Calculated formation energy   4.69 eV/f.u.
Total energy   -9.9 eV/cell
Density of states at the Fermi level   6.1 states/eV/cell